## Ce3In5S12 (PBE)

Data for an optimized crystal structure of Ce3In5S12.

Output
SG: No. 230
Raw total energy in hartree per atom: -0.1885
DOS(E_F) in states/eV per atom: 1.103
Formation energy (no corrections) in kJ/mol of atoms: -104.0

The structure in CIF format:
```
data_Ce3In5S12
_space_group_name_H-M_alt 'P 1'
_space_group_IT_number 1
_cell_length_a 13.774
_cell_length_b 13.774
_cell_length_c 13.774
_cell_angle_alpha 109.47
_cell_angle_beta 109.47
_cell_angle_gamma 109.47
loop_
_space_group_symop_operation_xyz
'x,y,z'
loop_
_atom_site_label
_atom_site_type_symbol
_atom_site_fract_x
_atom_site_fract_y
_atom_site_fract_z
S1 S 0.912 0.826 0.541
S2 S 0.371 0.959 0.785
S3 S 0.088 0.913 0.129
S4 S 0.785 0.459 0.371
S5 S 0.129 0.413 0.088
S6 S 0.326 0.541 0.412
S7 S 0.871 0.587 0.912
S8 S 0.459 0.674 0.088
S9 S 0.412 0.371 0.587
S10 S 0.215 0.674 0.087
S11 S 0.588 0.629 0.413
S12 S 0.588 0.959 0.674
S13 S 0.326 0.785 0.413
S14 S 0.129 0.715 0.541
S15 S 0.541 0.326 0.912
S16 S 0.087 0.174 0.215
S17 S 0.215 0.541 0.629
S18 S 0.285 0.413 0.826
S19 S 0.041 0.412 0.826
S20 S 0.785 0.326 0.913
S21 S 0.715 0.587 0.174
S22 S 0.826 0.912 0.041
S23 S 0.913 0.826 0.785
S24 S 0.674 0.215 0.587
S25 S 0.587 0.871 0.412
S26 S 0.413 0.129 0.588
S27 S 0.041 0.629 0.715
S28 S 0.959 0.588 0.174
S29 S 0.826 0.913 0.285
S30 S 0.412 0.041 0.326
S31 S 0.674 0.459 0.588
S32 S 0.541 0.215 0.129
S33 S 0.087 0.912 0.371
S34 S 0.587 0.715 0.674
S35 S 0.871 0.285 0.459
S36 S 0.413 0.285 0.326
S37 S 0.285 0.871 0.959
S38 S 0.088 0.174 0.459
S39 S 0.629 0.041 0.215
S40 S 0.959 0.371 0.285
S41 S 0.629 0.588 0.913
S42 S 0.174 0.088 0.959
S43 S 0.912 0.087 0.871
S44 S 0.459 0.785 0.871
S45 S 0.174 0.087 0.715
S46 S 0.913 0.088 0.629
S47 S 0.715 0.129 0.041
S48 S 0.371 0.412 0.087
In1 In 0.875 0.250 0.625
In2 In 0.500 0.000 0.500
In3 In 0.375 0.250 0.125
In4 In 0.000 0.000 0.000
In5 In 0.125 0.375 0.250
In6 In 0.625 0.750 0.875
In7 In 0.875 0.625 0.750
In8 In 0.000 0.500 0.000
In9 In 0.250 0.875 0.125
In10 In 0.500 0.000 0.000
In11 In 0.750 0.625 0.375
In12 In 0.750 0.125 0.875
In13 In 0.375 0.125 0.750
In14 In 0.500 0.500 0.500
In15 In 0.625 0.875 0.250
In16 In 0.250 0.375 0.625
In17 In 0.125 0.750 0.375
In18 In 0.000 0.000 0.500
In19 In 0.500 0.500 0.000
In20 In 0.000 0.500 0.500
Ce1 Ce 0.125 0.875 0.750
Ce2 Ce 0.625 0.375 0.750
Ce3 Ce 0.250 0.125 0.375
Ce4 Ce 0.750 0.375 0.125
Ce5 Ce 0.750 0.875 0.625
Ce6 Ce 0.125 0.250 0.875
Ce7 Ce 0.875 0.750 0.125
Ce8 Ce 0.625 0.250 0.375
Ce9 Ce 0.250 0.625 0.875
Ce10 Ce 0.375 0.750 0.625
Ce11 Ce 0.375 0.625 0.250
Ce12 Ce 0.875 0.125 0.250
```


## CeIn6S8 (PBE)

Data for an optimized crystal structure of CeIn6S8.

Output
SG: No. 148
Raw total energy in hartree per atom: -0.1557
DOS(E_F) in states/eV per atom: 0.489
Formation energy (no corrections) in kJ/mol of atoms: -52.6

The structure in CIF format:
```
data_CeIn6S8
_space_group_name_H-M_alt 'P 1'
_space_group_IT_number 1
_cell_length_a 7.210
_cell_length_b 7.210
_cell_length_c 7.210
_cell_angle_alpha 95.05
_cell_angle_beta 95.05
_cell_angle_gamma 95.05
loop_
_space_group_symop_operation_xyz
'x,y,z'
loop_
_atom_site_label
_atom_site_type_symbol
_atom_site_fract_x
_atom_site_fract_y
_atom_site_fract_z
S1 S 0.091 0.828 0.357
S2 S 0.643 0.909 0.172
S3 S 0.257 0.257 0.257
S4 S 0.357 0.091 0.828
S5 S 0.828 0.357 0.091
S6 S 0.172 0.643 0.909
S7 S 0.909 0.172 0.643
S8 S 0.743 0.743 0.743
In1 In 0.621 0.233 0.336
In2 In 0.664 0.379 0.767
In3 In 0.336 0.621 0.233
In4 In 0.233 0.336 0.621
In5 In 0.379 0.767 0.664
In6 In 0.767 0.664 0.379
Ce1 Ce 0.000 0.000 0.000
```


Which of these has the highest DOS(E_F)? Ce3In5S12


The lowest formation energy (no corrections) belongs to which entry? Ce3In5S12


Which of these has the highest formation energy (no corrections)? CeIn6S8